[1]
The following is a PBE calculation of an optimized crystal structure of Y4GeRh3, from the Alexandria database.

Energy ... -7.3930 eV/atom
Formation energy ... -0.827 eV per atom
Total magnetization ... 0.00 μB/f.u.
Density of states at the Fermi level ... 0.568 states/eV/atom

Unit cell a=3.863 b=4.266 c=10.648 alpha=90.00 beta=90.00 gamma=90.00
Fractional positions:
Y: 0.000 0.000 0.000
Y: 0.000 0.500 0.275
Y: 0.500 0.000 0.487
Y: 0.500 0.500 0.779
Ge: 0.000 0.000 0.709
Rh: 0.000 0.500 0.562
Rh: 0.500 0.000 0.219
Rh: 0.500 0.500 0.048

[2]
The following is a PBE calculation of an optimized crystal structure of La3IrSeCl, from the Alexandria database.

Energy ... -6.1316 eV/atom
Total magnetization ... 0.00 μB/f.u.
Formation energy (no corrections) ... -1.30 eV per atom
Density of states at the Fermi level ... 0.627 states/eV/atom

Unit cell a=8.824 b=4.262 c=9.436 alpha=90.00 beta=101.37 gamma=90.00
Fractional positions:
La: 0.064 0.250 0.338
La: 0.231 0.250 0.981
La: 0.369 0.750 0.613
La: 0.631 0.250 0.387
La: 0.769 0.750 0.019
La: 0.936 0.750 0.662
Ir: 0.161 0.250 0.651
Ir: 0.839 0.750 0.349
Se: 0.324 0.750 0.270
Se: 0.676 0.250 0.730
Cl: 0.412 0.750 0.910
Cl: 0.588 0.250 0.090

What is the energy in the first record? -7.3930 eV/atom